Here is a geometry-optimized LaFeSb structure from Alexandria via LeMat-Bulk. Energies are from PBE.

Output
**Formation energy without anion corrections**: -1.3 eV per formula unit

a b c (Å): 10.900 4.554 6.678
angles (deg): 90.00 99.88 90.00
Fractional positions:
La 0.118 0.000 0.263
La 0.382 0.500 0.737
La 0.618 0.500 0.263
La 0.882 0.000 0.737
Fe 0.096 0.500 0.942
Fe 0.404 0.000 0.058
Fe 0.596 0.000 0.942
Fe 0.904 0.500 0.058
Sb 0.176 0.000 0.777
Sb 0.324 0.500 0.223
Sb 0.676 0.500 0.777
Sb 0.824 0.000 0.223

Here is a geometry-optimized LaFeSb2 structure from Alexandria via LeMat-Bulk. Energies are from PBE.

Output
**Excess energy over the best structure of this formula in the dataset**: 492 meV per atom
**Formation energy without anion corrections**: -0.3 eV per formula unit

a b c (Å): 3.338 3.338 9.199
angles (deg): 90.00 90.00 90.00
Fractional positions:
La 0.000 0.000 0.000
Fe 0.500 0.500 0.769
Sb 0.000 0.000 0.634
Sb 0.500 0.500 0.276

Here is a geometry-optimized Sr2LaFeSb structure from Alexandria via LeMat-Bulk. Energies are from PBE.

Output
**Formation energy without anion corrections**: 3.1 eV per formula unit

a b c (Å): 6.373 6.373 4.349
angles (deg): 90.00 90.00 90.00
Fractional positions:
Sr 0.000 0.500 0.000
Sr 0.500 0.000 0.000
La 0.000 0.000 0.000
Fe 0.000 0.000 0.500
Sb 0.500 0.500 0.500

Here is a geometry-optimized LaFeSbTe2 structure from Alexandria via LeMat-Bulk. Energies are from PBE.

Output
**Excess energy over the best structure of this formula in the dataset**: 1071 meV per atom
**Formation energy without anion corrections**: 3.6 eV per formula unit

a b c (Å): 6.071 6.071 6.180
angles (deg): 90.00 90.00 90.00
Fractional positions:
La 0.000 0.000 0.000
Fe 0.500 0.500 0.500
Sb 0.000 0.000 0.500
Te 0.000 0.500 0.000
Te 0.500 0.000 0.000

Here is a geometry-optimized LaFeSbTe2 structure from Alexandria via LeMat-Bulk. Energies are from PBE.

Output
**Excess energy over the best structure of this formula in the dataset**: 0 meV per atom
**Formation energy without anion corrections**: -1.7 eV per formula unit

a b c (Å): 5.327 5.327 4.883
angles (deg): 90.00 90.00 90.00
Fractional positions:
La 0.000 0.000 0.000
Fe 0.500 0.500 0.500
Sb 0.500 0.500 0.000
Te 0.000 0.500 0.500
Te 0.500 0.000 0.500

Here is a geometry-optimized La2Sc2Fe structure from Alexandria via LeMat-Bulk. Energies are from PBE.

Output
**Formation energy**: 0.186 eV/atom

a b c (Å): 6.652 6.652 5.829
angles (deg): 90.00 90.00 90.00
Fractional positions:
La 0.170 0.330 0.000
La 0.330 0.830 0.000
La 0.670 0.170 0.000
La 0.830 0.670 0.000
Sc 0.169 0.669 0.500
Sc 0.331 0.169 0.500
Sc 0.669 0.831 0.500
Sc 0.831 0.331 0.500
Fe 0.000 0.000 0.500
Fe 0.500 0.500 0.500

Here is a geometry-optimized LaScFe2 structure from Alexandria via LeMat-Bulk. Energies are from PBE.

Output
**Formation energy**: 0.331 eV/atom

a b c (Å): 6.633 6.633 6.633
angles (deg): 90.00 90.00 90.00
Fractional positions:
La 0.000 0.000 0.000
La 0.000 0.500 0.500
La 0.500 0.000 0.500
La 0.500 0.500 0.000
Sc 0.250 0.250 0.250
Sc 0.250 0.750 0.750
Sc 0.750 0.250 0.750
Sc 0.750 0.750 0.250
Fe 0.000 0.000 0.500
Fe 0.000 0.500 0.000
Fe 0.250 0.250 0.750
Fe 0.250 0.750 0.250
Fe 0.500 0.000 0.000
Fe 0.500 0.500 0.500
Fe 0.750 0.250 0.250
Fe 0.750 0.750 0.750

Here is a geometry-optimized LaScFe2 structure from Alexandria via LeMat-Bulk. Energies are from PBE.

Output
**Formation energy**: 0.206 eV/atom

a b c (Å): 3.722 4.282 10.567
angles (deg): 90.00 90.00 90.00
Fractional positions:
La 0.000 0.000 0.000
La 0.500 0.500 0.500
Sc 0.000 0.500 0.231
Sc 0.500 0.000 0.731
Fe 0.000 0.000 0.377
Fe 0.000 0.500 0.789
Fe 0.500 0.000 0.289
Fe 0.500 0.500 0.877

Looking at mass density for the records above, in order, we have 6.4 7.1 4.6 4.2 6.9 5.5 6.7 5.8 g cm⁻³.
Looking at total magnetization for the records above, in order, we have 10.8 1.3 0.0 3.5 2.2 0.0 15.8 0.0 Bohr magnetons per cell.